# 1
A plane-wave DFT calculation with PBE-GGA was carried out for a relaxed structure of Sr2PbF6.

Summary:
The value obtained for the density of states at the Fermi level is 0.00 states/eV per cell. The calculation puts the total energy at -49.2 eV/cell. For the magnetic moment, the calculation gives 0.000 μB/atom.

abc: 7.2262 7.2262 7.2262
angles: 146.38 131.77 60.08
Positions (direct):
Sr (0.1674, 0.1674, 0.0000)
Sr (0.8326, 0.8326, 0.0000)
Pb (0.5000, 0.5000, 0.0000)
F (0.0778, 0.3311, 0.7466)
F (0.2443, 0.0000, 0.2443)
F (0.4155, 0.6689, 0.7466)
F (0.5845, 0.3311, 0.2534)
F (0.7557, 0.0000, 0.7557)
F (0.9222, 0.6689, 0.2534)



# 2
A plane-wave DFT calculation with PBE-GGA was carried out for a relaxed structure of ThPaCo.

Summary:
Its excess energy over the best structure of this formula in the dataset is 0 meV/atom. The value obtained for the density of states at the Fermi level is 5.73 states/eV per cell. The calculation puts the energy of formation at -52 kJ/mol of formula units. For the magnetic moment, the calculation gives 0.000 μB/atom.

abc: 3.4309 3.4452 11.6008
angles: 98.17 90.02 90.22
Positions (direct):
Th (0.2491, 0.3569, 0.1162)
Th (0.7509, 0.6431, 0.8838)
Pa (0.2490, 0.7083, 0.4067)
Pa (0.7510, 0.2917, 0.5933)
Co (0.2523, 0.8465, 0.6900)
Co (0.7477, 0.1535, 0.3100)



# 3
A plane-wave DFT calculation with PBE-GGA was carried out for a relaxed structure of Na2VTcAs.

Summary:
The value obtained for the density of states at the Fermi level is 4.89 states/eV per cell. The calculation puts the energy of formation at 590 kJ/mol of formula units. For the magnetic moment, the calculation gives 0.000 μB/atom.

abc: 5.4772 5.4772 4.2292
angles: 90.00 90.00 90.00
Positions (direct):
Na (0.0000, 0.5000, 0.0000)
Na (0.5000, 0.0000, 0.0000)
V (0.0000, 0.0000, 0.5000)
Tc (0.0000, 0.0000, 0.0000)
As (0.5000, 0.5000, 0.5000)



# 4
A plane-wave DFT calculation with PBE-GGA was carried out for a relaxed structure of TlBr2.

Summary:
The value obtained for the density of states at the Fermi level is 1.80 states/eV per cell. The calculation puts the total energy at -6.8 eV/cell. For the magnetic moment, the calculation gives 0.000 μB/atom.

abc: 7.2563 7.2563 7.2563
angles: 149.91 149.91 43.08
Positions (direct):
Tl (0.0000, 0.0000, 0.0000)
Br (0.3675, 0.3675, 0.0000)
Br (0.6325, 0.6325, 0.0000)



# 5
A plane-wave DFT calculation with PBE-GGA was carried out for a relaxed structure of BaScAg.

Summary:
Its excess energy over the best structure of this formula in the dataset is 380 meV/atom. The value obtained for the density of states at the Fermi level is 5.21 states/eV per cell. The calculation puts the energy of formation at 86 kJ/mol of formula units. For the magnetic moment, the calculation gives 0.000 μB/atom.

abc: 5.2975 5.2975 5.2975
angles: 60.00 60.00 60.00
Positions (direct):
Ba (0.0000, 0.0000, 0.0000)
Sc (0.5000, 0.5000, 0.5000)
Ag (0.7500, 0.7500, 0.7500)



# 6
A plane-wave DFT calculation with PBE-GGA was carried out for a relaxed structure of CrIn2Sb.

Summary:
The value obtained for the density of states at the Fermi level is 5.14 states/eV per cell. The calculation puts the total energy at -35.6 eV/cell. For the magnetic moment, the calculation gives 1.006 μB/atom.

abc: 6.5581 6.5581 6.5581
angles: 101.62 101.62 126.66
Positions (direct):
Cr (0.0000, 0.0000, 0.0000)
Cr (0.7500, 0.2500, 0.5000)
In (0.1193, 0.6250, 0.9943)
In (0.3750, 0.3693, 0.4943)
In (0.6307, 0.1250, 0.0057)
In (0.8750, 0.8807, 0.5057)
Sb (0.2500, 0.7500, 0.5000)
Sb (0.5000, 0.5000, 0.0000)



# 7
A plane-wave DFT calculation with PBE-GGA was carried out for a relaxed structure of Pr5Nd2.

Summary:
Its excess energy over the best structure of this formula in the dataset is 19 meV/atom. The value obtained for the density of states at the Fermi level is 14.37 states/eV per cell. The calculation puts the energy of formation at 77 kJ/mol of formula units. For the magnetic moment, the calculation gives 0.000 μB/atom.

abc: 9.0752 9.0752 9.0752
angles: 37.78 37.78 37.78
Positions (direct):
Pr (0.0000, 0.0000, 0.0000)
Pr (0.2714, 0.2714, 0.2714)
Pr (0.4172, 0.4172, 0.4172)
Pr (0.5828, 0.5828, 0.5828)
Pr (0.7286, 0.7286, 0.7286)
Nd (0.1363, 0.1363, 0.1363)
Nd (0.8637, 0.8637, 0.8637)



# 8
A plane-wave DFT calculation with PBE-GGA was carried out for a relaxed structure of CsAsI4.

Summary:
Its excess energy over the best structure of this formula in the dataset is 0 meV/atom. The value obtained for the density of states at the Fermi level is 0.00 states/eV per cell. For the magnetic moment, the calculation gives 0.000 μB/atom.

abc: 9.7127 9.7127 7.5398
angles: 106.12 106.12 111.52
Positions (direct):
Cs (0.1220, 0.8780, 0.7500)
Cs (0.8780, 0.1220, 0.2500)
As (0.4193, 0.5807, 0.2500)
As (0.5807, 0.4193, 0.7500)
I (0.1444, 0.5453, 0.3018)
I (0.2550, 0.3677, 0.8137)
I (0.3677, 0.2550, 0.3137)
I (0.4547, 0.8556, 0.1982)
I (0.5453, 0.1444, 0.8018)
I (0.6323, 0.7450, 0.6863)
I (0.7450, 0.6323, 0.1863)
I (0.8556, 0.4547, 0.6982)



What is the magnetic moment in the seventh record? 0.000 μB/atom